No. 1
Below is a relaxed structure of USeS, with properties calculated at the PBE-GGA level.

Cell and atoms, written as POSCAR:
```
USeS
1.0
7.775 0.000 0.000
-3.888 6.734 0.000
0.000 0.000 3.406
U Se S
3 3 3
Cartesian
-2.467 4.273 0.000 U
1.421 2.460 0.000 U
4.934 0.000 0.000 U
0.000 0.000 0.000 Se
0.000 4.489 1.703 Se
3.888 2.245 1.703 Se
-1.178 2.041 1.703 S
2.357 0.000 1.703 S
2.709 4.693 1.703 S
```

Calculated values
Energy above the most stable polymorph in this dataset, meV/atom: 423.2
Crystal system: hexagonal
Space group: P-62m (189)
Total magnetic moment, μB per formula unit: 1.96

=====

No. 2
Below is a relaxed structure of BaPrHg6, with properties calculated at the PBE-GGA level.

Cell and atoms, written as POSCAR:
```
BaPrHg6
1.0
6.919 0.000 0.000
-3.460 5.992 0.000
0.000 0.000 5.201
Ba Pr Hg
1 1 6
Cartesian
0.000 0.000 0.000 Ba
0.000 3.995 2.600 Pr
1.869 1.079 2.600 Hg
3.460 0.006 0.000 Hg
1.735 2.993 0.000 Hg
5.050 1.079 2.600 Hg
3.460 3.834 2.600 Hg
5.184 2.993 0.000 Hg
```

Calculated values
Crystal system: hexagonal
Space group: P-6m2 (187)
Total magnetic moment, μB per formula unit: 0.01

=====

No. 3
Below is a relaxed structure of BaSrCu2As2, with properties calculated at the PBE-GGA level.

Cell and atoms, written as POSCAR:
```
BaSrCu2As2
1.0
4.315 0.000 0.000
-2.158 3.737 0.000
0.000 0.000 8.915
Ba Sr Cu As
1 1 2 2
Cartesian
0.000 0.000 0.000 Ba
0.000 0.000 4.457 Sr
0.000 2.491 6.588 Cu
2.158 1.246 2.327 Cu
0.000 2.491 2.340 As
2.158 1.246 6.575 As
```

Calculated values
Crystal system: trigonal
Space group: P-3m1 (164)

=====

No. 4
Below is a relaxed structure of KHfPb, with properties calculated at the PBE-GGA level.

Cell and atoms, written as POSCAR:
```
KHfPb
1.0
0.000 3.724 3.724
3.724 0.000 3.724
3.724 3.724 0.000
K Hf Pb
1 1 1
Cartesian
0.000 0.000 0.000 K
5.586 5.586 5.586 Hf
1.862 1.862 1.862 Pb
```

Calculated values
Energy above the most stable polymorph in this dataset, meV/atom: 632.9
Crystal system: cubic
Space group: F-43m (216)
Total magnetic moment, μB per formula unit: 0.54

=====

no.,VASP energy (eV per cell)
1,-63.10
2,-11.47
3,-25.05
4,-10.45